# 1
Material: Ce2PuCuN5
Method: DFT, PBE-GGA
State: optimized geometry

abc: 3.431 6.899 10.351
angles: 90.00 90.00 104.40
Sites, in units of the cell vectors:
Ce1 0.128 0.257 0.302
Ce2 0.107 0.215 0.686
Ce3 0.872 0.743 0.802
Ce4 0.893 0.785 0.186
N1 0.299 0.598 0.371
N2 0.494 0.988 0.777
N3 0.283 0.567 0.648
N4 0.506 0.012 0.277
N5 0.355 0.710 0.007
N6 0.717 0.433 0.148
N7 0.949 0.898 0.556
N8 0.701 0.402 0.871
N9 0.051 0.102 0.056
N10 0.645 0.290 0.507
Cu1 0.490 0.980 0.469
Cu2 0.510 0.020 0.969
Pu1 0.800 0.600 0.508
Pu2 0.200 0.400 0.008

Output
ΔE_f (raw) ... -849 meV per atom
E ... -8.8404 eV per atom
SG ... Cmc2_1
Size of the total moment ... 4.05 μB/cell

***

# 2
Material: CeCuSbN
Method: DFT, PBE-GGA
State: optimized geometry

abc: 4.020 4.020 9.627
angles: 90.00 90.00 90.00
Sites, in units of the cell vectors:
N1 0.000 0.000 0.000
N2 0.500 0.500 0.000
Cu1 0.500 0.500 0.500
Cu2 0.000 0.000 0.500
Ce1 0.500 0.000 0.114
Ce2 0.000 0.500 0.886
Sb1 0.000 0.500 0.324
Sb2 0.500 0.000 0.676

Output
ΔE_f (raw) ... -819 meV per atom
E ... -6.4385 eV per atom
SG ... P4/nmm
Size of the total moment ... 0.00 μB/cell

***

# 3
Material: Ce2CuSe2N2
Method: DFT, PBE-GGA
State: optimized geometry

abc: 3.926 3.926 11.437
angles: 90.00 90.00 120.00
Sites, in units of the cell vectors:
Se1 0.000 0.000 0.806
Se2 0.000 0.000 0.194
Ce1 0.667 0.333 0.375
Ce2 0.333 0.667 0.625
N1 0.333 0.667 0.423
N2 0.667 0.333 0.577
Cu1 0.000 0.000 0.000

Output
ΔE_f (raw) ... -1036 meV per atom
E ... -6.6908 eV per atom
SG ... P-3m1
Size of the total moment ... 0.00 μB/cell

***

# 4
Material: Ce2TaCuN5
Method: DFT, PBE-GGA
State: optimized geometry

abc: 3.260 6.877 10.228
angles: 90.00 90.00 103.71
Sites, in units of the cell vectors:
Ta1 0.202 0.403 0.007
Ta2 0.798 0.597 0.507
N1 0.644 0.288 0.502
N2 0.053 0.106 0.068
N3 0.692 0.383 0.871
N4 0.493 0.986 0.777
N5 0.715 0.430 0.148
N6 0.947 0.894 0.568
N7 0.285 0.570 0.648
N8 0.356 0.712 0.002
N9 0.507 0.014 0.277
N10 0.308 0.617 0.371
Ce1 0.892 0.783 0.183
Ce2 0.133 0.267 0.302
Ce3 0.867 0.733 0.802
Ce4 0.108 0.217 0.683
Cu1 0.480 0.961 0.466
Cu2 0.520 0.039 0.966

Output
ΔE_f (raw) ... -862 meV per atom
E ... -8.5776 eV per atom
SG ... Cmc2_1
Size of the total moment ... 0.00 μB/cell

***

# 5
Material: Ce2CuTe2N2
Method: DFT, PBE-GGA
State: optimized geometry

abc: 3.925 3.925 12.464
angles: 90.00 90.00 120.00
Sites, in units of the cell vectors:
N1 0.333 0.667 0.427
N2 0.667 0.333 0.573
Ce1 0.333 0.667 0.614
Ce2 0.667 0.333 0.386
Cu1 0.000 0.000 0.000
Te1 0.000 0.000 0.806
Te2 0.000 0.000 0.194

Output
ΔE_f (raw) ... -924 meV per atom
E ... -6.4808 eV per atom
SG ... P-3m1
Size of the total moment ... 0.00 μB/cell

***

# 6
Material: CeTh2CuN4
Method: DFT, PBE-GGA
State: optimized geometry

abc: 3.591 6.151 11.957
angles: 90.00 90.00 106.97
Sites, in units of the cell vectors:
Cu1 0.165 0.331 0.250
Cu2 0.835 0.669 0.750
Th1 0.631 0.262 0.059
Th2 0.369 0.738 0.559
Th3 0.631 0.262 0.441
Th4 0.369 0.738 0.941
N1 0.543 0.087 0.250
N2 0.457 0.913 0.750
N3 0.000 0.000 0.000
N4 0.270 0.541 0.118
N5 0.730 0.459 0.618
N6 0.000 0.000 0.500
N7 0.730 0.459 0.882
N8 0.270 0.541 0.382
Ce1 0.104 0.208 0.750
Ce2 0.896 0.792 0.250

Output
ΔE_f (raw) ... -1179 meV per atom
E ... -8.4505 eV per atom
SG ... Cmcm
Size of the total moment ... 1.52 μB/cell

***

# 7
Material: Ce2UCuN5
Method: DFT, PBE-GGA
State: optimized geometry

abc: 3.459 6.966 10.372
angles: 90.00 90.00 104.37
Sites, in units of the cell vectors:
N1 0.355 0.710 0.010
N2 0.294 0.589 0.369
N3 0.954 0.909 0.562
N4 0.505 0.009 0.282
N5 0.706 0.411 0.869
N6 0.287 0.574 0.640
N7 0.645 0.290 0.510
N8 0.495 0.991 0.782
N9 0.046 0.091 0.062
N10 0.713 0.426 0.140
Ce1 0.892 0.783 0.178
Ce2 0.123 0.245 0.304
Ce3 0.877 0.755 0.804
Ce4 0.108 0.217 0.678
U1 0.803 0.607 0.504
U2 0.197 0.393 0.004
Cu1 0.494 0.989 0.475
Cu2 0.506 0.011 0.975

Output
ΔE_f (raw) ... -1007 meV per atom
E ... -8.6607 eV per atom
SG ... Cmc2_1
Size of the total moment ... 0.04 μB/cell

***

# 8
Material: Ce2CuWN5
Method: DFT, PBE-GGA
State: optimized geometry

abc: 3.233 7.186 9.772
angles: 90.00 90.00 103.00
Sites, in units of the cell vectors:
N1 0.641 0.283 0.509
N2 0.709 0.419 0.866
N3 0.500 0.000 0.772
N4 0.925 0.850 0.517
N5 0.713 0.425 0.149
N6 0.075 0.150 0.017
N7 0.500 0.000 0.272
N8 0.359 0.717 0.009
N9 0.287 0.575 0.649
N10 0.291 0.581 0.366
Ce1 0.878 0.757 0.213
Ce2 0.873 0.746 0.800
Ce3 0.122 0.243 0.713
Ce4 0.127 0.254 0.300
W1 0.787 0.575 0.508
W2 0.213 0.425 0.008
Cu1 0.499 0.997 0.491
Cu2 0.501 0.003 0.991

Output
ΔE_f (raw) ... -715 meV per atom
E ... -8.5528 eV per atom
SG ... Cmc2_1
Size of the total moment ... 0.00 μB/cell

***

# 9
Material: Na2CeCu9
Method: DFT, PBE-GGA
State: optimized geometry

abc: 5.076 5.076 8.911
angles: 73.45 73.45 60.00
Sites, in units of the cell vectors:
Cu1 0.420 0.420 0.245
Cu2 0.915 0.420 0.245
Cu3 0.085 0.580 0.755
Cu4 0.668 0.668 0.996
Cu5 0.420 0.915 0.245
Cu6 0.580 0.085 0.755
Cu7 0.332 0.332 0.004
Cu8 0.580 0.580 0.755
Cu9 0.500 0.500 0.500
Ce1 0.000 0.000 0.000
Na1 0.147 0.147 0.560
Na2 0.853 0.853 0.440

Output
Energy relative to the elements ... -9 meV per atom
E ... -3.7952 eV per atom
SG ... R-3m
Size of the total moment ... 0.96 μB/cell

***

# 10
Material: Na2CeCuO4
Method: DFT, PBE-GGA
State: optimized geometry

abc: 5.253 5.253 5.253
angles: 101.28 113.72 113.72
Sites, in units of the cell vectors:
Ce1 0.500 0.250 0.750
O1 0.540 0.319 0.370
O2 0.950 0.630 0.171
O3 0.050 0.221 0.681
O4 0.460 0.829 0.779
Cu1 0.000 0.500 0.500
Na1 0.500 0.750 0.250
Na2 0.000 0.000 0.000

Output
ΔE_f (raw) ... -1870 meV per atom
E ... -5.9324 eV per atom
SG ... I-4
Size of the total moment ... 1.01 μB/cell

***

# 11
Material: NaCe2CuO5
Method: DFT, PBE-GGA
State: optimized geometry

abc: 5.738 6.640 6.640
angles: 90.00 90.00 90.00
Sites, in units of the cell vectors:
Ce1 0.500 0.677 0.177
Ce2 0.500 0.323 0.823
Ce3 0.500 0.177 0.323
Ce4 0.500 0.823 0.677
Cu1 0.000 0.500 0.000
Cu2 0.000 0.000 0.500
O1 0.743 0.858 0.358
O2 0.743 0.358 0.142
O3 0.257 0.358 0.142
O4 0.743 0.642 0.858
O5 0.743 0.142 0.642
O6 0.500 0.500 0.500
O7 0.257 0.642 0.858
O8 0.257 0.858 0.358
O9 0.257 0.142 0.642
O10 0.500 0.000 0.000
Na1 0.000 0.500 0.500
Na2 0.000 0.000 0.000

Output
ΔE_f (raw) ... -2422 meV per atom
E ... -7.0970 eV per atom
SG ... P4/mbm
Size of the total moment ... 0.32 μB/cell

***

# 12
Material: Na4Ce3CuO8
Method: DFT, PBE-GGA
State: optimized geometry

abc: 6.847 6.793 7.036
angles: 119.86 119.11 90.00
Sites, in units of the cell vectors:
O1 0.233 0.706 0.956
O2 0.736 0.265 0.472
O3 0.265 0.281 0.531
O4 0.735 0.719 0.469
O5 0.767 0.294 0.044
O6 0.277 0.294 0.044
O7 0.264 0.735 0.528
O8 0.723 0.706 0.956
Na1 0.500 0.000 0.000
Na2 0.000 0.000 0.000
Na3 0.500 0.000 0.500
Na4 0.000 0.000 0.500
Ce1 0.000 0.500 0.500
Ce2 0.500 0.500 0.000
Ce3 0.500 0.500 0.500
Cu1 0.000 0.500 0.000

Output
ΔE_f (raw) ... -2327 meV per atom
E ... -6.5045 eV per atom
SG ... C2/m
Size of the total moment ... 1.09 μB/cell